The following is a DFT calculation (PBE) of a geometry-optimized Hf2Sc2Hg structure.

Output
- E_tot: -6.420 eV per atom
- Calculated volume: 231.9 Å³ per cell
- Crystal system: tetragonal

The structure in CIF format:
```
data_Hf2Sc2Hg
_chemical_formula_sum 'Hf4 Sc4 Hg2'
_cell_length_a 7.3915
_cell_length_b 7.3915
_cell_length_c 4.2442
_cell_angle_alpha 90.00
_cell_angle_beta 90.00
_cell_angle_gamma 90.00
_symmetry_space_group_name_H-M 'P 4/m b m'
_symmetry_Int_Tables_number 127
_symmetry_space_group_name_Hall '-P 4 2ab'
loop_
_atom_site_label
_atom_site_fract_x
_atom_site_fract_y
_atom_site_fract_z
Hf1 0.1447 0.3553 0.0000
Sc1 0.1468 0.6468 0.5000
Hg1 0.0000 0.0000 0.5000
```


The following is a DFT calculation (PBE) of a geometry-optimized HfScHg structure.

Output
- Energy relative to the lowest polymorph listed for this composition: 106.8 meV/atom
- Calculated volume: 275.3 Å³ per cell
- Crystal system: tetragonal

The structure in CIF format:
```
data_HfScHg
_chemical_formula_sum 'Hf4 Sc4 Hg4'
_cell_length_a 4.2324
_cell_length_b 4.2324
_cell_length_c 15.3676
_cell_angle_alpha 90.00
_cell_angle_beta 90.00
_cell_angle_gamma 90.00
_symmetry_space_group_name_H-M 'I 4/m m m'
_symmetry_Int_Tables_number 139
_symmetry_space_group_name_Hall '-I 4 2'
loop_
_atom_site_label
_atom_site_fract_x
_atom_site_fract_y
_atom_site_fract_z
Hf1 0.0000 0.5000 0.0000
Sc1 0.0000 0.0000 0.1739
Hg1 0.0000 0.0000 0.3622
```


The following is a DFT calculation (PBE) of a geometry-optimized HfSc2TaHg structure.

Output
- E_tot: -6.179 eV per atom
- Calculated volume: 134.4 Å³ per cell
- Crystal system: tetragonal

The structure in CIF format:
```
data_HfSc2TaHg
_chemical_formula_sum 'Hf1 Sc2 Ta1 Hg1'
_cell_length_a 5.1285
_cell_length_b 5.1285
_cell_length_c 5.1093
_cell_angle_alpha 90.00
_cell_angle_beta 90.00
_cell_angle_gamma 90.00
_symmetry_space_group_name_H-M 'P 4/m m m'
_symmetry_Int_Tables_number 123
_symmetry_space_group_name_Hall '-P 4 2'
loop_
_atom_site_label
_atom_site_fract_x
_atom_site_fract_y
_atom_site_fract_z
Hf1 0.0000 0.0000 0.0000
Sc1 0.0000 0.5000 0.5000
Ta1 0.0000 0.0000 0.5000
Hg1 0.5000 0.5000 0.0000
```


The following is a DFT calculation (PBE) of a geometry-optimized HfScTcHg structure.

Output
- E_tot: -6.961 eV per atom
- Calculated volume: 306.0 Å³ per cell
- Crystal system: cubic

The structure in CIF format:
```
data_HfScTcHg
_chemical_formula_sum 'Hf4 Sc4 Tc4 Hg4'
_cell_length_a 6.7384
_cell_length_b 6.7384
_cell_length_c 6.7384
_cell_angle_alpha 90.00
_cell_angle_beta 90.00
_cell_angle_gamma 90.00
_symmetry_space_group_name_H-M 'F -4 3 m'
_symmetry_Int_Tables_number 216
_symmetry_space_group_name_Hall 'F -4 2 3'
loop_
_atom_site_label
_atom_site_fract_x
_atom_site_fract_y
_atom_site_fract_z
Hf1 0.0000 0.0000 0.0000
Sc1 0.0000 0.0000 0.5000
Tc1 0.2500 0.2500 0.2500
Hg1 0.2500 0.2500 0.7500
```


The following is a DFT calculation (PBE) of a geometry-optimized HfScHgTe2 structure.

Output
- Calculated volume: 156.5 Å³ per cell
- Crystal system: tetragonal
- Formation energy without anion corrections: 351 meV per atom

The structure in CIF format:
```
data_HfScHgTe2
_chemical_formula_sum 'Hf1 Sc1 Hg1 Te2'
_cell_length_a 5.4513
_cell_length_b 5.4513
_cell_length_c 5.2655
_cell_angle_alpha 90.00
_cell_angle_beta 90.00
_cell_angle_gamma 90.00
_symmetry_space_group_name_H-M 'P 4/m m m'
_symmetry_Int_Tables_number 123
_symmetry_space_group_name_Hall '-P 4 2'
loop_
_atom_site_label
_atom_site_fract_x
_atom_site_fract_y
_atom_site_fract_z
Hf1 0.0000 0.0000 0.0000
Sc1 0.5000 0.5000 0.5000
Hg1 0.5000 0.5000 0.0000
Te1 0.0000 0.5000 0.5000
```


The following is a DFT calculation (PBE) of a geometry-optimized YHfScHg2 structure.

Output
- E_tot: -3.758 eV per atom
- Calculated volume: 142.2 Å³ per cell
- Crystal system: tetragonal

The structure in CIF format:
```
data_YHfScHg2
_chemical_formula_sum 'Y1 Hf1 Sc1 Hg2'
_cell_length_a 5.2358
_cell_length_b 5.2358
_cell_length_c 5.1870
_cell_angle_alpha 90.00
_cell_angle_beta 90.00
_cell_angle_gamma 90.00
_symmetry_space_group_name_H-M 'P 4/m m m'
_symmetry_Int_Tables_number 123
_symmetry_space_group_name_Hall '-P 4 2'
loop_
_atom_site_label
_atom_site_fract_x
_atom_site_fract_y
_atom_site_fract_z
Y1 0.0000 0.0000 0.0000
Hf1 0.5000 0.5000 0.0000
Sc1 0.0000 0.0000 0.5000
Hg1 0.0000 0.5000 0.5000
```


The following is a DFT calculation (PBE) of a geometry-optimized HfSc2ZnHg structure.

Output
- E_tot: -4.490 eV per atom
- Calculated volume: 123.2 Å³ per cell
- Crystal system: tetragonal

The structure in CIF format:
```
data_HfSc2ZnHg
_chemical_formula_sum 'Hf1 Sc2 Zn1 Hg1'
_cell_length_a 4.9676
_cell_length_b 4.9676
_cell_length_c 4.9929
_cell_angle_alpha 90.00
_cell_angle_beta 90.00
_cell_angle_gamma 90.00
_symmetry_space_group_name_H-M 'P 4/m m m'
_symmetry_Int_Tables_number 123
_symmetry_space_group_name_Hall '-P 4 2'
loop_
_atom_site_label
_atom_site_fract_x
_atom_site_fract_y
_atom_site_fract_z
Hf1 0.0000 0.0000 0.0000
Sc1 0.0000 0.5000 0.5000
Zn1 0.0000 0.0000 0.5000
Hg1 0.5000 0.5000 0.0000
```


The following is a DFT calculation (PBE) of a geometry-optimized HfZrScHg structure.

Output
- E_tot: -6.442 eV per atom
- Calculated volume: 89.3 Å³ per cell
- Crystal system: tetragonal

The structure in CIF format:
```
data_HfZrScHg
_chemical_formula_sum 'Hf1 Zr1 Sc1 Hg1'
_cell_length_a 3.2335
_cell_length_b 3.2335
_cell_length_c 8.5458
_cell_angle_alpha 90.00
_cell_angle_beta 90.00
_cell_angle_gamma 90.00
_symmetry_space_group_name_H-M 'P 4 m m'
_symmetry_Int_Tables_number 99
loop_
_symmetry_equiv_pos_as_xyz
'x,y,z'
'-y,x,z'
'-x,-y,z'
'y,-x,z'
'-x,y,z'
'y,x,z'
'x,-y,z'
'-y,-x,z'
loop_
_atom_site_label
_atom_site_fract_x
_atom_site_fract_y
_atom_site_fract_z
Hf1 0.0000 0.0000 0.0000
Zr1 0.5000 0.5000 0.2542
Sc1 0.5000 0.5000 0.7447
Hg1 0.0000 0.0000 0.5071
```


The following is a DFT calculation (PBE) of a geometry-optimized HfHgSe2 structure.

Output
- Calculated volume: 523.6 Å³ per cell
- Crystal system: monoclinic
- Formation energy without anion corrections: -722 meV per atom

The structure in CIF format:
```
data_HfHgSe2
_chemical_formula_sum 'Hf4 Hg4 Se8'
_cell_length_a 6.4545
_cell_length_b 12.9389
_cell_length_c 6.8261
_cell_angle_alpha 90.00
_cell_angle_beta 113.30
_cell_angle_gamma 90.00
_symmetry_space_group_name_H-M 'C 1 2/c 1'
_symmetry_Int_Tables_number 15
loop_
_symmetry_equiv_pos_as_xyz
'x,y,z'
'-x,-y,-z'
'-x,y,-z+1/2'
'x,-y,z+1/2'
'x+1/2,y+1/2,z'
'-x+1/2,-y+1/2,-z'
'-x+1/2,y+1/2,-z+1/2'
'x+1/2,-y+1/2,z+1/2'
loop_
_atom_site_label
_atom_site_fract_x
_atom_site_fract_y
_atom_site_fract_z
Hf1 0.0000 0.0162 0.2500
Hg1 0.0000 0.3629 0.7500
Se1 0.1916 0.1162 0.6009
```


The following is a DFT calculation (PBE) of a geometry-optimized HfHgSe2 structure.

Output
- Calculated volume: 1749.5 Å³ per cell
- Crystal system: monoclinic
- Formation energy without anion corrections: -769 meV per atom

The structure in CIF format:
```
data_HfHgSe2
_chemical_formula_sum 'Hf16 Hg16 Se32'
_cell_length_a 9.9826
_cell_length_b 9.9611
_cell_length_c 17.7477
_cell_angle_alpha 90.00
_cell_angle_beta 97.55
_cell_angle_gamma 90.00
_symmetry_space_group_name_H-M 'C 1 2/c 1'
_symmetry_Int_Tables_number 15
loop_
_symmetry_equiv_pos_as_xyz
'x,y,z'
'-x,-y,-z'
'-x,y,-z+1/2'
'x,-y,z+1/2'
'x+1/2,y+1/2,z'
'-x+1/2,-y+1/2,-z'
'-x+1/2,y+1/2,-z+1/2'
'x+1/2,-y+1/2,z+1/2'
loop_
_atom_site_label
_atom_site_fract_x
_atom_site_fract_y
_atom_site_fract_z
Hf1 0.0202 0.1848 0.3389
Hf2 0.2310 0.4372 0.1792
Hg1 0.0278 0.3819 0.5875
Hg2 0.2175 0.3675 0.4264
Se1 0.0000 0.0486 0.7500
Se2 0.0000 0.4198 0.2500
Se3 0.1216 0.2856 0.0645
Se4 0.1397 0.0167 0.4353
Se5 0.2332 0.1837 0.2487
```


no.,density of states at the Fermi level (states/eV/cell)
1,10.3
2,16.3
3,7.5
4,9.7
5,5.9
6,3.6
7,8.5
8,6.0
9,0.0
10,9.1